(1)
This record from Alexandria via LeMat-Bulk describes crystalline La2FeSnO at its relaxed geometry. The functional is PBE with a Hubbard U. Values from VASP.

```
&SYSTEM
  ibrav = 0, nat = 5, ntyp = 4
/
ATOMIC_SPECIES
La 138.91 La.upf
Fe 55.84 Fe.upf
Sn 118.71 Sn.upf
O 16.00 O.upf
ATOMIC_POSITIONS crystal
La 0.0000 0.5000 0.0000
La 0.5000 0.0000 0.0000
Fe 0.0000 0.0000 0.0000
Sn 0.5000 0.5000 0.5000
O 0.0000 0.0000 0.5000
CELL_PARAMETERS angstrom
5.9301 0.0000 0.0000
0.0000 5.9301 0.0000
0.0000 0.0000 3.6244
```

ρ (g/cm³): 6.102
E_tot (eV for the cell shown): -27.3

***

(2)
This record from Alexandria via LeMat-Bulk describes crystalline LaFe2SnO6 at its relaxed geometry. The functional is PBE with a Hubbard U. Values from VASP.

```
&SYSTEM
  ibrav = 0, nat = 10, ntyp = 4
/
ATOMIC_SPECIES
La 138.91 La.upf
Fe 55.84 Fe.upf
Sn 118.71 Sn.upf
O 16.00 O.upf
ATOMIC_POSITIONS crystal
La 0.0000 0.0000 0.0000
Fe 0.2217 0.4446 0.6590
Fe 0.7400 0.4739 0.1957
Sn 0.5246 0.0509 0.5669
O 0.1287 0.5777 0.3892
O 0.3790 0.3159 0.8656
O 0.4364 0.2695 0.3924
O 0.5517 0.9239 0.8583
O 0.8252 0.9634 0.3931
O 0.9404 0.4936 0.8561
CELL_PARAMETERS angstrom
5.4701 0.0000 0.0000
-2.7209 4.7459 0.0000
-0.0868 -3.0892 4.9489
```

ρ (g/cm³): 6.014
E_tot (eV for the cell shown): -69.9

***

(3)
This record from Alexandria via LeMat-Bulk describes crystalline LaZnFeSnO6 at its relaxed geometry. The functional is PBE with a Hubbard U. Values from VASP.

```
&SYSTEM
  ibrav = 0, nat = 20, ntyp = 5
/
ATOMIC_SPECIES
La 138.91 La.upf
Zn 65.41 Zn.upf
Fe 55.84 Fe.upf
Sn 118.71 Sn.upf
O 16.00 O.upf
ATOMIC_POSITIONS crystal
La 0.0000 0.1872 0.0000
La 0.0000 0.8128 0.5000
Zn 0.4946 0.1411 0.4948
Zn 0.4946 0.8589 0.9948
Fe 0.7384 0.2799 0.2529
Fe 0.7384 0.7201 0.7529
Sn 0.2260 0.2807 0.7436
Sn 0.2260 0.7193 0.2436
O 0.0788 0.0528 0.3014
O 0.0788 0.9472 0.8014
O 0.3755 0.4291 0.2034
O 0.3755 0.5709 0.7034
O 0.4703 0.0687 0.6916
O 0.4703 0.9313 0.1916
O 0.5649 0.2320 0.0023
O 0.5649 0.7680 0.5023
O 0.8463 0.2222 0.4956
O 0.8463 0.7778 0.9956
O 0.9680 0.4498 0.8008
O 0.9680 0.5502 0.3008
CELL_PARAMETERS angstrom
5.4774 0.0000 0.0000
0.0000 5.9019 0.0000
-5.4501 0.0000 7.8883
```

ρ (g/cm³): 6.184
Energy above the lowest structure with this stoichiometry (eV/atom): 0.0000
E_tot (eV for the cell shown): -130.4